Entry 1:
Compound: Mg2AlPb
Source: Alexandria
Functional: PBE
Structure: relaxed

Results
- Spin magnetization: 0.000 μB/f.u.
- Formation energy: 0.09 eV per atom
- Raw total energy: -10.3 eV/f.u.

a = 3.355 Å, b = 3.355 Å, c = 8.379 Å
α = 90.00°, β = 90.00°, γ = 90.03°
Fractional positions:
Mg (0.500, 0.500, 0.236)
Pb (0.000, 0.000, 0.511)
Al (0.500, 0.500, 0.770)
Mg (0.000, 0.000, 0.983)

---

Entry 2:
Compound: Mg2AlPb
Source: Alexandria
Functional: PBE
Structure: relaxed

Results
- Spin magnetization: 0.000 μB/f.u.
- Formation energy: 0.05 eV per atom
- Raw total energy: -10.5 eV/f.u.

a = 5.156 Å, b = 3.387 Å, c = 5.300 Å
α = 90.01°, β = 90.00°, γ = 90.00°
Fractional positions:
Al (0.500, 0.625, 0.820)
Mg (0.500, 0.125, 0.303)
Pb (0.000, 0.625, 0.443)
Mg (0.000, 0.125, 0.934)

---

Entry 3:
Compound: Mg2Al2Pb
Source: Alexandria
Functional: PBE
Structure: relaxed

Results
- Spin magnetization: 0.000 μB/f.u.
- Energy above the lowest structure with this stoichiometry: 76 meV per atom
- Formation energy: 0.14 eV per atom
- Raw total energy: -13.7 eV/f.u.

a = 8.522 Å, b = 8.522 Å, c = 3.133 Å
α = 90.00°, β = 90.00°, γ = 90.00°
Fractional positions:
Al (0.173, 0.673, 0.500)
Mg (0.125, 0.375, 0.000)
Pb (0.500, 0.500, 0.000)
Mg (0.375, 0.875, 0.000)
Al (0.673, 0.827, 0.500)
Pb (0.000, 0.000, 0.000)
Al (0.827, 0.327, 0.500)
Mg (0.625, 0.125, 0.000)
Al (0.327, 0.173, 0.500)
Mg (0.875, 0.625, 0.000)

---

Entry 4:
Compound: Mg2AlPb
Source: Alexandria
Functional: PBE
Structure: relaxed

Results
- Spin magnetization: 0.000 μB/f.u.
- Formation energy: 0.04 eV per atom
- Raw total energy: -10.5 eV/f.u.

a = 4.639 Å, b = 4.655 Å, c = 4.247 Å
α = 90.00°, β = 90.00°, γ = 90.00°
Fractional positions:
Mg (0.000, 0.000, 0.000)
Al (0.000, 0.500, 0.500)
Mg (0.500, 0.500, 0.000)
Pb (0.500, 0.000, 0.500)

---

Entry 5:
Compound: Mg16Al12Pb
Source: Alexandria
Functional: PBE
Structure: relaxed

Results
- Spin magnetization: 0.000 μB/f.u.
- Energy above the lowest structure with this stoichiometry: 0 meV per atom
- Formation energy: -0.02 eV per atom
- Raw total energy: -74.6 eV/f.u.

a = 9.133 Å, b = 9.133 Å, c = 9.132 Å
α = 70.90°, β = 70.90°, γ = 109.21°
Fractional positions:
Al (0.827, 0.827, 0.820)
Al (0.367, 0.997, 0.818)
Mg (0.402, 0.999, 0.317)
Mg (0.318, 0.714, 0.683)
Mg (0.007, 0.687, 0.599)
Mg (0.313, 0.313, 0.289)
Mg (0.597, 0.287, 0.401)
Al (0.635, 0.826, 0.350)
Mg (0.714, 0.318, 0.683)
Mg (0.999, 0.402, 0.317)
Mg (0.393, 0.679, 0.005)
Al (0.359, 0.175, 0.010)
Al (0.826, 0.635, 0.350)
Al (0.175, 0.359, 0.010)
Mg (0.000, 0.000, 0.001)
Al (0.997, 0.367, 0.818)
Pb (0.611, 0.611, 0.706)
Mg (0.654, 0.003, 0.994)
Al (0.632, 0.632, 0.175)
Al (0.181, 0.810, 0.188)
Mg (0.003, 0.654, 0.994)
Al (0.189, 0.002, 0.632)
Al (0.810, 0.181, 0.188)
Mg (0.999, 0.999, 0.344)
Mg (0.335, 0.335, 0.667)
Al (0.002, 0.189, 0.632)
Mg (0.679, 0.393, 0.005)
Mg (0.287, 0.597, 0.401)
Mg (0.687, 0.007, 0.599)

---

Entry 6:
Compound: Mg2AlPb
Source: Alexandria
Functional: PBE
Structure: relaxed

Results
- Spin magnetization: 0.000 μB/f.u.
- Formation energy: 0.24 eV per atom
- Raw total energy: -9.7 eV/f.u.

a = 8.137 Å, b = 8.137 Å, c = 6.518 Å
α = 51.38°, β = 51.38°, γ = 90.00°
Fractional positions:
Mg (0.375, 0.395, 0.750)
Mg (0.605, 0.125, 0.250)
Mg (0.145, 0.625, 0.250)
Al (0.500, 0.500, 0.000)
Al (0.250, 0.750, 0.500)
Pb (0.750, 0.250, 0.500)
Mg (0.875, 0.855, 0.750)
Pb (0.000, 0.000, 0.000)

---

Entry 7:
Compound: Mg6AlPb
Source: Alexandria
Functional: PBE
Structure: relaxed

Results
- Spin magnetization: 0.000 μB/f.u.
- Formation energy: -0.02 eV per atom
- Raw total energy: -17.2 eV/f.u.

a = 4.485 Å, b = 4.485 Å, c = 8.944 Å
α = 90.00°, β = 90.00°, γ = 90.00°
Fractional positions:
Pb (0.000, 0.000, 0.000)
Mg (0.000, 0.500, 0.264)
Al (0.000, 0.000, 0.500)
Mg (0.500, 0.500, 0.000)
Mg (0.000, 0.500, 0.736)
Mg (0.500, 0.000, 0.264)
Mg (0.500, 0.000, 0.736)
Mg (0.500, 0.500, 0.500)

---

Entry 8:
Compound: Mg8AlPb2
Source: Alexandria
Functional: PBE
Structure: relaxed

Results
- Spin magnetization: 0.000 μB/f.u.
- Energy above the lowest structure with this stoichiometry: 35 meV per atom
- Formation energy: 0.04 eV per atom
- Raw total energy: -23.5 eV/f.u.

a = 5.092 Å, b = 7.644 Å, c = 8.206 Å
α = 112.65°, β = 100.90°, γ = 105.07°
Fractional positions:
Mg (0.983, 0.100, 0.792)
Mg (0.303, 0.612, 0.000)
Mg (0.809, 0.692, 0.792)
Mg (0.301, 0.801, 0.602)
Mg (0.697, 0.388, 0.000)
Mg (0.017, 0.900, 0.208)
Al (0.500, 0.000, 0.000)
Mg (0.191, 0.308, 0.208)
Mg (0.699, 0.199, 0.398)
Pb (0.301, 0.301, 0.603)
Pb (0.699, 0.699, 0.397)

---

Entry 9:
Compound: PmMgAlPb
Source: Alexandria
Functional: PBE
Structure: relaxed

Results
- Spin magnetization: 0.000 μB/f.u.
- Formation energy: -0.14 eV per atom
- Raw total energy: -14.3 eV/f.u.

a = 5.260 Å, b = 5.260 Å, c = 5.260 Å
α = 60.00°, β = 60.00°, γ = 60.00°
Fractional positions:
Mg (0.750, 0.750, 0.750)
Pm (0.250, 0.250, 0.250)
Al (0.000, 0.000, 0.000)
Pb (0.500, 0.500, 0.500)

---

Entry 10:
Compound: PuMgAlPb
Source: Alexandria
Functional: PBE
Structure: relaxed

Results
- Spin magnetization: 5.619 μB/f.u.
- Formation energy: -0.02 eV per atom
- Raw total energy: -23.5 eV/f.u.

a = 5.173 Å, b = 5.173 Å, c = 5.173 Å
α = 60.00°, β = 60.00°, γ = 60.00°
Site moments in Bohr magnetons follow the coordinates.
Fractional positions:
Pb (0.000, 0.000, 0.000)  -0.01
Pu (0.250, 0.250, 0.250)  5.41
Al (0.500, 0.500, 0.500)  0.00
Mg (0.750, 0.750, 0.750)  -0.01

---

Entry 11:
Compound: MgAlRePb2
Source: Alexandria
Functional: PBE
Structure: relaxed

Results
- Spin magnetization: 0.000 μB/f.u.
- Formation energy: 0.71 eV per atom
- Raw total energy: -21.6 eV/f.u.

a = 5.307 Å, b = 5.178 Å, c = 5.307 Å
α = 90.00°, β = 90.00°, γ = 90.00°
Fractional positions:
Mg (0.000, 0.500, 0.000)
Pb (0.000, 0.000, 0.500)
Re (0.000, 0.000, 0.000)
Pb (0.500, 0.000, 0.000)
Al (0.500, 0.500, 0.500)

---

Entry 12:
Compound: MgAlSnPb
Source: Alexandria
Functional: PBE
Structure: relaxed

Results
- Spin magnetization: 0.000 μB/f.u.
- Formation energy: 0.09 eV per atom
- Raw total energy: -12.7 eV/f.u.

a = 5.167 Å, b = 5.167 Å, c = 5.167 Å
α = 60.00°, β = 60.00°, γ = 60.00°
Fractional positions:
Pb (0.750, 0.750, 0.750)
Al (0.000, 0.000, 0.000)
Mg (0.500, 0.500, 0.500)
Sn (0.250, 0.250, 0.250)

---

Entry 13:
Compound: SrMg2AlPb
Source: Alexandria
Functional: PBE
Structure: relaxed

Results
- Spin magnetization: 0.000 μB/f.u.
- Formation energy: 1.08 eV per atom
- Raw total energy: -6.9 eV/f.u.

a = 6.023 Å, b = 5.816 Å, c = 6.023 Å
α = 90.00°, β = 90.00°, γ = 90.00°
Fractional positions:
Mg (0.500, 0.000, 0.000)
Mg (0.000, 0.000, 0.500)
Al (0.000, 0.500, 0.000)
Pb (0.500, 0.500, 0.500)
Sr (0.000, 0.000, 0.000)

---

Entry 14:
Compound: MgAlTe2Pb
Source: Alexandria
Functional: PBE
Structure: relaxed

Results
- Spin magnetization: 0.000 μB/f.u.
- Formation energy without anion corrections: 0.514 eV/atom
- Raw total energy: -12.8 eV/f.u.

a = 6.018 Å, b = 5.286 Å, c = 6.018 Å
α = 90.00°, β = 90.00°, γ = 90.00°
Fractional positions:
Al (0.000, 0.500, 0.000)
Te (0.000, 0.000, 0.500)
Pb (0.000, 0.000, 0.000)
Te (0.500, 0.000, 0.000)
Mg (0.500, 0.500, 0.500)

---

Entry 15:
Compound: TmMgAlPb
Source: Alexandria
Functional: PBE
Structure: relaxed

Results
- Spin magnetization: 0.000 μB/f.u.
- Formation energy: -0.08 eV per atom
- Raw total energy: -13.8 eV/f.u.

a = 5.173 Å, b = 5.173 Å, c = 5.173 Å
α = 60.00°, β = 60.00°, γ = 60.00°
Fractional positions:
Mg (0.000, 0.000, 0.000)
Pb (0.750, 0.750, 0.750)
Al (0.250, 0.250, 0.250)
Tm (0.500, 0.500, 0.500)

---

Entry 16:
Compound: Mg3AlPd12
Source: Alexandria
Functional: PBE
Structure: relaxed

Results
- Spin magnetization: 0.000 μB/f.u.
- Formation energy: -0.50 eV per atom
- Raw total energy: -78.9 eV/f.u.

a = 3.970 Å, b = 3.970 Å, c = 15.676 Å
α = 90.00°, β = 90.00°, γ = 90.00°
Fractional positions:
Pd (0.500, 0.500, 0.248)
Mg (0.000, 0.000, 0.500)
Pd (0.500, 0.500, 0.752)
Pd (0.500, 0.000, 0.880)
Al (0.000, 0.000, 0.000)
Mg (0.000, 0.000, 0.753)
Pd (0.500, 0.000, 0.374)
Pd (0.000, 0.500, 0.374)
Pd (0.000, 0.500, 0.120)
Pd (0.500, 0.500, 0.000)
Pd (0.000, 0.500, 0.626)
Pd (0.000, 0.500, 0.880)
Mg (0.000, 0.000, 0.247)
Pd (0.500, 0.000, 0.120)
Pd (0.500, 0.500, 0.500)
Pd (0.500, 0.000, 0.626)

---

Entry 17:
Compound: Mg2AlPd8
Source: Alexandria
Functional: PBE
Structure: relaxed

Results
- Spin magnetization: 0.000 μB/f.u.
- Energy above the lowest structure with this stoichiometry: 0 meV per atom
- Formation energy: -0.54 eV per atom
- Raw total energy: -54.4 eV/f.u.

a = 4.113 Å, b = 6.081 Å, c = 7.325 Å
α = 104.15°, β = 106.31°, γ = 90.00°
Fractional positions:
Pd (0.855, 0.808, 0.709)
Pd (0.327, 0.086, 0.653)
Pd (0.962, 0.263, 0.923)
Al (0.500, 0.000, 0.000)
Pd (0.673, 0.914, 0.347)
Mg (0.780, 0.346, 0.561)
Mg (0.220, 0.654, 0.439)
Pd (0.038, 0.737, 0.077)
Pd (0.145, 0.192, 0.291)
Pd (0.593, 0.448, 0.187)
Pd (0.407, 0.552, 0.813)

---

Entry 18:
Compound: Mg3AlPd
Source: Alexandria
Functional: PBE
Structure: relaxed

Results
- Spin magnetization: 0.000 μB/f.u.
- Energy above the lowest structure with this stoichiometry: 0 meV per atom
- Formation energy: -0.27 eV per atom
- Raw total energy: -15.1 eV/f.u.

a = 6.643 Å, b = 6.643 Å, c = 6.485 Å
α = 106.78°, β = 117.27°, γ = 105.71°
Fractional positions:
Al (0.309, 0.924, 0.234)
Al (0.691, 0.076, 0.766)
Mg (0.224, 0.397, 0.250)
Pd (0.623, 0.764, 0.387)
Mg (0.776, 0.603, 0.750)
Mg (0.724, 0.443, 0.167)
Mg (0.854, 0.026, 0.250)
Mg (0.276, 0.557, 0.833)
Pd (0.377, 0.236, 0.613)
Mg (0.146, 0.974, 0.750)

---

Entry 19:
Compound: Mg7AlPd4
Source: Alexandria
Functional: PBE
Structure: relaxed

Results
- Spin magnetization: 0.000 μB/f.u.
- Formation energy: -0.31 eV per atom
- Raw total energy: -39.4 eV/f.u.

a = 4.917 Å, b = 7.837 Å, c = 6.877 Å
α = 75.30°, β = 69.05°, γ = 71.72°
Fractional positions:
Pd (0.436, 0.772, 0.357)
Mg (0.500, 0.000, 0.000)
Mg (0.066, 0.626, 0.243)
Mg (0.934, 0.374, 0.757)
Pd (0.306, 0.348, 0.040)
Mg (0.296, 0.651, 0.757)
Mg (0.217, 0.122, 0.443)
Mg (0.783, 0.878, 0.557)
Pd (0.694, 0.652, 0.960)
Pd (0.564, 0.228, 0.643)
Al (0.000, 0.000, 0.000)
Mg (0.704, 0.349, 0.243)

---

Entry 20:
Compound: MgAlPd2
Source: Alexandria
Functional: PBE
Structure: relaxed

Results
- Spin magnetization: 0.000 μB/f.u.
- Formation energy: -0.47 eV per atom
- Raw total energy: -17.6 eV/f.u.

a = 6.902 Å, b = 6.902 Å, c = 5.660 Å
α = 52.43°, β = 52.43°, γ = 90.00°
Fractional positions:
Al (0.000, 0.000, 0.000)
Pd (0.375, 0.348, 0.750)
Mg (0.500, 0.500, 0.000)
Pd (0.652, 0.125, 0.250)
Al (0.750, 0.250, 0.500)
Pd (0.098, 0.625, 0.250)
Pd (0.875, 0.902, 0.750)
Mg (0.250, 0.750, 0.500)

---

Entry 21:
Compound: Mg3Al2Pd
Source: Alexandria
Functional: PBE
Structure: relaxed

Results
- Spin magnetization: 0.000 μB/f.u.
- Formation energy: -0.27 eV per atom
- Raw total energy: -19.1 eV/f.u.

a = 7.334 Å, b = 8.233 Å, c = 10.914 Å
α = 90.00°, β = 135.87°, γ = 90.00°
Fractional positions:
Mg (0.232, 0.061, 0.396)
Al (0.298, 0.567, 0.837)
Mg (0.873, 0.738, 0.154)
Al (0.899, 0.854, 0.923)
Mg (0.821, 0.624, 0.463)
Al (0.399, 0.646, 0.423)
Mg (0.373, 0.762, 0.654)
Mg (0.321, 0.876, 0.963)
Al (0.101, 0.146, 0.077)
Mg (0.732, 0.439, 0.896)
Al (0.202, 0.067, 0.663)
Pd (0.135, 0.378, 0.253)
Mg (0.127, 0.262, 0.846)
Mg (0.268, 0.561, 0.104)
Al (0.702, 0.433, 0.163)
Mg (0.627, 0.238, 0.346)
Pd (0.365, 0.878, 0.247)
Pd (0.635, 0.122, 0.753)
Mg (0.179, 0.376, 0.537)
Mg (0.679, 0.124, 0.037)
Al (0.601, 0.354, 0.577)
Mg (0.768, 0.939, 0.604)
Pd (0.865, 0.622, 0.747)
Al (0.798, 0.933, 0.337)

---

Entry 22:
Compound: MgAlPd4
Source: Alexandria
Functional: PBE
Structure: relaxed

Results
- Spin magnetization: 0.000 μB/f.u.
- Energy above the lowest structure with this stoichiometry: 196 meV per atom
- Formation energy: -0.46 eV per atom
- Raw total energy: -28.9 eV/f.u.

a = 4.142 Å, b = 4.164 Å, c = 7.307 Å
α = 73.32°, β = 73.54°, γ = 60.17°
Fractional positions:
Pd (0.372, 0.373, 0.884)
Pd (0.879, 0.882, 0.360)
Al (0.000, 0.000, 0.000)
Pd (0.121, 0.118, 0.640)
Mg (0.500, 0.500, 0.500)
Pd (0.628, 0.627, 0.116)

---

Entry 23:
Compound: Mg3Al9Pd2
Source: Alexandria
Functional: PBE
Structure: relaxed

Results
- Spin magnetization: 0.000 μB/f.u.
- Formation energy: -0.25 eV per atom
- Raw total energy: -52.4 eV/f.u.

a = 4.367 Å, b = 7.874 Å, c = 7.874 Å
α = 78.08°, β = 73.90°, γ = 73.90°
Fractional positions:
Mg (0.712, 0.288, 0.288)
Al (0.141, 0.575, 0.142)
Pd (0.500, 0.343, 0.657)
Al (0.859, 0.858, 0.425)
Mg (0.000, 0.000, 0.000)
Al (0.366, 0.003, 0.266)
Al (0.859, 0.425, 0.858)
Al (0.000, 0.500, 0.500)
Mg (0.288, 0.712, 0.712)
Al (0.634, 0.997, 0.734)
Pd (0.500, 0.657, 0.343)
Al (0.366, 0.266, 0.003)
Al (0.141, 0.142, 0.575)
Al (0.634, 0.734, 0.997)